(1)
The following is a PBE calculation of a relaxed Re2PI crystal, from Alexandria.

Unit cell a=6.3258 b=6.3258 c=6.3258 alpha=90.00 beta=90.00 gamma=90.00
Space group Fm-3m (No. 225)
Symmetry-distinct sites (fractional):
Re1 0.2500 0.2500 0.2500
P1 0.0000 0.0000 0.0000
I1 0.0000 0.0000 0.5000

Summary:
energy = -6.928 eV per atom
distance to the lowest polymorph of the same formula = 0.926 eV per formula unit
mass density = 13.91 g/cm3
magnetization = 0.0 μB/f.u.

***

(2)
The following is a PBE calculation of a relaxed Pu2BiIr crystal, from Alexandria.

Unit cell a=3.4220 b=3.4220 c=8.4364 alpha=90.00 beta=90.00 gamma=90.00
Space group P4/mmm (No. 123)
Symmetry-distinct sites (fractional):
Pu1 0.0000 0.0000 0.2013
Bi1 0.5000 0.5000 0.5000
Ir1 0.5000 0.5000 0.0000

Summary:
energy relative to the elements = -1.69 eV per formula unit
energy = -10.773 eV per atom
distance to the lowest polymorph of the same formula = 0.000 eV per formula unit
mass density = 14.95 g/cm3
magnetization = 10.9 μB/f.u.

***

Question: magnetization of number 1 (Re2PI)?
Answer: 0.0 μB/f.u.